## K2Mg3CrF12 (GGA+U)

Data for crystalline K2Mg3CrF12 at its relaxed geometry.

Lattice parameters (Å, degrees): 7.407 7.407 7.407 58.50 58.50 58.50
Element x y z (fractional)
K 0.097 0.097 0.097
K 0.903 0.903 0.903
Mg 0.000 0.500 0.500
Mg 0.500 0.000 0.500
Mg 0.500 0.500 0.000
Cr 0.500 0.500 0.500
F 0.175 0.175 0.574
F 0.175 0.574 0.175
F 0.197 0.566 0.566
F 0.426 0.825 0.825
F 0.434 0.434 0.803
F 0.434 0.803 0.434
F 0.566 0.197 0.566
F 0.566 0.566 0.197
F 0.574 0.175 0.175
F 0.803 0.434 0.434
F 0.825 0.426 0.825
F 0.825 0.825 0.426

Results
N(E_F) ... 10.55 states/eV/f.u.
E_tot ... -5.09 eV per atom